(1)
PBE InTc2Os, optimized geometry; energy of formation = 540 meV/atom; spin magnetization = 1.11 μB per cell; space-group type = P4/mmm, No. 123
1.0
-0.697 3.025 2.611
0.579 -2.482 3.029
3.856 0.893 -0.006
Tc Os In
2 1 1
direct
0.000 0.500 0.500 Tc
0.000 0.000 0.000 Tc
0.500 0.000 0.500 Os
0.500 0.500 0.000 In

***

(2)
PBE Y4Ni2Hg5, optimized geometry; energy of formation = -448 meV/atom; spin magnetization = 0.00 μB per cell; space-group type = P2/m, No. 10
1.0
-0.542 2.843 -2.138
-7.187 -2.137 -1.019
-2.083 5.264 7.530
Hg Ni Y
5 2 4
direct
0.000 0.557 0.332 Hg
0.000 0.443 0.668 Hg
0.000 0.166 0.145 Hg
0.000 0.834 0.855 Hg
0.000 0.500 0.000 Hg
0.000 0.934 0.372 Ni
0.000 0.066 0.628 Ni
0.500 0.223 0.436 Y
0.500 0.777 0.564 Y
0.500 0.176 0.843 Y
0.500 0.824 0.157 Y

***

Q: The highest spin magnetization belongs to which entry?
A: InTc2Os